SrAgAs2, relaxed, DFT GGA-PBE; formation enthalpy at 0 K = -301 meV per atom; total DFT energy (no corrections) = -0.138 Ha/atom; D(E_F) = 2.0 states/eV/f.u.; space-group type = No. 44
1.0
3.778 0.000 0.000
0.000 5.009 0.000
0.000 0.000 10.048
Sr Ag As
2 2 4
direct
0.000 0.000 0.000 Sr
0.500 0.500 0.500 Sr
0.000 0.500 0.790 Ag
0.500 0.000 0.290 Ag
0.000 0.000 0.523 As
0.000 0.500 0.215 As
0.500 0.000 0.715 As
0.500 0.500 0.023 As